Here is InAsW after structural relaxation from the Alexandria database. Energies are from PBE.

Computed properties:
Formation energy ... 259 meV per atom
DOS at the Fermi energy ... 0.568 states/eV/atom
Energy above the lowest structure with this stoichiometry ... 41 meV per atom
Calculated total energy ... -19.6 eV per cell

Lattice parameters (Å, degrees): 5.4597 5.4597 5.4597 144.37 144.37 51.27
Last column: nearest neighbours and their distance in Å.
Fractional positions:
W 0.6406 0.6406 0.0000  4 As 2.61
As 0.0281 0.0281 0.0000  4 W 2.61
In 0.3313 0.3313 0.0000  5 As 2.99-3.05, 5 W 3.02-3.04, 4 In 3.34



Here is CeSmLuZr after structural relaxation from the Alexandria database. Energies are from PBE.

Computed properties:
Formation energy ... 239 meV per atom
DOS at the Fermi energy ... 2.089 states/eV/atom
Calculated total energy ... -22.8 eV per cell

Lattice parameters (Å, degrees): 5.4800 5.4800 5.4800 60.00 60.00 60.00
Last column: nearest neighbours and their distance in Å.
Fractional positions:
Zr 0.2500 0.2500 0.2500  4 Ce 3.36, 4 Lu 3.36
Sm 0.7500 0.7500 0.7500  4 Lu 3.36, 4 Ce 3.36
Lu 0.0000 0.0000 0.0000  4 Sm 3.36, 4 Zr 3.36
Ce 0.5000 0.5000 0.5000  4 Zr 3.36, 4 Sm 3.36



Here is HoHg2Pt after structural relaxation from the Alexandria database. Energies are from PBE.

Computed properties:
Formation energy ... 210 meV per atom
DOS at the Fermi energy ... 0.891 states/eV/atom
Calculated total energy ... -10.4 eV per cell

Lattice parameters (Å, degrees): 3.2392 3.2392 10.6031 81.21 81.21 60.00
Last column: nearest neighbours and their distance in Å.
Fractional positions:
Ho 0.0000 0.0000 0.0000  2 Hg 3.02, 6 Ho 3.24
Hg 0.9034 0.9034 0.2898  3 Pt 2.88, 1 Ho 3.02
Hg 0.0966 0.0966 0.7102  3 Pt 2.88, 1 Ho 3.02
Pt 0.5000 0.5000 0.5000  6 Hg 2.88



Here is YGaC2F after structural relaxation from the Alexandria database. Energies are from PBE.

Computed properties:
DOS at the Fermi energy ... 0.695 states/eV/atom
Calculated total energy ... -22.2 eV per cell
Raw formation energy ... 1.522 eV per atom

Lattice parameters (Å, degrees): 4.2937 8.6418 4.2937 90.00 90.00 90.00
Last column: nearest neighbours and their distance in Å.
Fractional positions:
Y 0.0000 0.0000 0.0000  4 C 2.15
C 0.5000 0.0000 0.0000  2 Y 2.15
C 0.0000 0.0000 0.5000  2 Y 2.15
F 0.5000 0.5000 0.5000  4 Ga 3.04
Ga 0.0000 0.5000 0.0000  4 F 3.04



Here is Dy2AlPb after structural relaxation from the Alexandria database. Energies are from PBE.

Computed properties:
Formation energy ... -397 meV per atom
DOS at the Fermi energy ... 0.550 states/eV/atom
Calculated total energy ... -18.2 eV per cell

Lattice parameters (Å, degrees): 3.4433 3.4433 8.7462 90.00 90.00 90.00
Last column: nearest neighbours and their distance in Å.
Fractional positions:
Dy 0.0000 0.0000 0.2291  4 Al 3.15, 4 Pb 3.40, 4 Dy 3.44
Dy 0.0000 0.0000 0.7709  4 Al 3.15, 4 Pb 3.40, 4 Dy 3.44
Pb 0.5000 0.5000 0.5000  8 Dy 3.40, 4 Pb 3.44
Al 0.5000 0.5000 0.0000  8 Dy 3.15, 4 Al 3.44



Here is BaTe2Se after structural relaxation from the Alexandria database. Energies are from PBE.

Computed properties:
DOS at the Fermi energy ... 0.045 states/eV/atom
Calculated total energy ... -15.2 eV per cell
Raw formation energy ... -0.880 eV per atom

Lattice parameters (Å, degrees): 4.1602 4.6654 7.5602 74.02 90.00 90.00
Last column: nearest neighbours and their distance in Å.
Fractional positions:
Ba 0.0000 0.5054 0.5391  4 Se 3.40-3.41, 3 Te 3.61-3.65
Te 0.5000 0.0899 0.2459  2 Te 2.98
Te 0.0000 0.9805 0.9899  2 Se 2.95, 2 Te 2.98
Se 0.5000 0.9242 0.7251  2 Te 2.95



Here is Er2MnWN5 after structural relaxation from the Alexandria database. Energies are from PBE.

Computed properties:
DOS at the Fermi energy ... 0.318 states/eV/atom
Calculated total energy ... -162.1 eV per cell
Raw formation energy ... -0.907 eV per atom

Lattice parameters (Å, degrees): 3.1699 6.9468 9.6889 90.00 90.00 103.19
Last column: nearest neighbours and their distance in Å.
Fractional positions:
Mn 0.5509 0.1018 0.9506  4 N 1.76-1.96
Mn 0.4491 0.8982 0.4506  4 N 1.76-1.96
N 0.2971 0.5943 0.6594  2 W 2.11
N 0.9637 0.9275 0.5382  2 Mn 1.81
N 0.5003 0.0007 0.7838  1 Mn 1.76
N 0.3169 0.6337 0.3681  1 Mn 1.96, 2 W 2.15
N 0.0363 0.0725 0.0382  2 Mn 1.81
N 0.6831 0.3663 0.8681  1 Mn 1.96, 2 W 2.15
N 0.6554 0.3107 0.5040  1 W 1.93
N 0.7029 0.4057 0.1594  2 W 2.11
N 0.4997 0.9993 0.2838  1 Mn 1.76
N 0.3446 0.6893 0.0040  1 W 1.93
W 0.2022 0.4043 0.0161  5 N 1.93-2.15
W 0.7978 0.5957 0.5161  5 N 1.93-2.15
Er 0.1179 0.2358 0.6866  8 N 2.43-2.53
Er 0.1300 0.2600 0.3172  7 N 2.39-2.58
Er 0.8821 0.7642 0.1866  8 N 2.43-2.53
Er 0.8700 0.7400 0.8172  7 N 2.39-2.58



Here is CaBeRe2 after structural relaxation from the Alexandria database. Energies are from PBE.

Computed properties:
Formation energy ... 449 meV per atom
DOS at the Fermi energy ... 0.722 states/eV/atom
Calculated total energy ... -28.8 eV per cell

Lattice parameters (Å, degrees): 3.1098 3.1098 6.8650 90.00 90.00 90.00
Last column: nearest neighbours and their distance in Å.
Fractional positions:
Ca 0.5000 0.5000 0.7500  4 Ca 3.11, 8 Re 3.17, 2 Be 3.43
Re 0.0000 0.0000 0.4179  1 Re 2.31, 4 Be 2.48
Re 0.0000 0.0000 0.0821  1 Re 2.31, 4 Be 2.48
Be 0.5000 0.5000 0.2500  8 Re 2.48



Here is YAl2In2 after structural relaxation from the Alexandria database. Energies are from PBE.

Computed properties:
Formation energy ... -120 meV per atom
DOS at the Fermi energy ... 0.452 states/eV/atom
Energy above the lowest structure with this stoichiometry ... 0 meV per atom
Calculated total energy ... -40.1 eV per cell

Lattice parameters (Å, degrees): 7.9490 7.9490 3.6518 90.00 90.00 90.00
Last column: nearest neighbours and their distance in Å.
Fractional positions:
In 0.6729 0.8271 0.5000  6 Al 2.94-3.00
In 0.1729 0.6729 0.5000  6 Al 2.94-3.00
In 0.8271 0.3271 0.5000  6 Al 2.94-3.00
In 0.3271 0.1729 0.5000  6 Al 2.94-3.00
Al 0.6221 0.1221 0.0000  1 Al 2.74, 6 In 2.94-3.00
Al 0.1221 0.3779 0.0000  1 Al 2.74, 6 In 2.94-3.00
Al 0.8779 0.6221 0.0000  1 Al 2.74, 6 In 2.94-3.00
Al 0.3779 0.8779 0.0000  1 Al 2.74, 6 In 2.94-3.00
Y 0.0000 0.0000 0.0000  4 Al 3.16, 8 In 3.46
Y 0.5000 0.5000 0.0000  4 Al 3.16, 8 In 3.46



Here is HfSc2Be2Rh5 after structural relaxation from the Alexandria database. Energies are from PBE.

Computed properties:
Formation energy ... -902 meV per atom
DOS at the Fermi energy ... 0.529 states/eV/atom
Calculated total energy ... -151.7 eV per cell

Lattice parameters (Å, degrees): 3.2248 9.5474 9.5474 90.00 90.00 90.00
Last column: nearest neighbours and their distance in Å.
Fractional positions:
Sc 0.0000 0.6735 0.1735  3 Be 2.78-2.85, 10 Rh 2.84-3.04
Sc 0.0000 0.1735 0.3265  3 Be 2.78-2.85, 10 Rh 2.84-3.04
Sc 0.0000 0.3265 0.8265  3 Be 2.78-2.85, 10 Rh 2.84-3.04
Sc 0.0000 0.8265 0.6735  3 Be 2.78-2.85, 10 Rh 2.84-3.04
Be 0.0000 0.1206 0.6206  6 Rh 2.29-2.30
Be 0.0000 0.8794 0.3794  6 Rh 2.29-2.30
Be 0.0000 0.3794 0.1206  6 Rh 2.29-2.30
Be 0.0000 0.6206 0.8794  6 Rh 2.29-2.30
Rh 0.5000 0.7142 0.4274  2 Be 2.30
Rh 0.5000 0.2858 0.5726  2 Be 2.30
Rh 0.5000 0.9274 0.2142  2 Be 2.30
Rh 0.5000 0.5726 0.7142  2 Be 2.30
Rh 0.5000 0.7858 0.9274  2 Be 2.30
Rh 0.5000 0.4274 0.2858  2 Be 2.30
Rh 0.5000 0.2142 0.0726  2 Be 2.30
Rh 0.5000 0.5000 0.0000  4 Be 2.29
Rh 0.5000 0.0726 0.7858  2 Be 2.30
Rh 0.5000 0.0000 0.5000  4 Be 2.29
Hf 0.0000 0.5000 0.5000  8 Rh 2.70
Hf 0.0000 0.0000 0.0000  8 Rh 2.70



Here is TmThBiTe after structural relaxation from the Alexandria database. Energies are from PBE.

Computed properties:
DOS at the Fermi energy ... 1.007 states/eV/atom
Energy above the lowest structure with this stoichiometry ... 40 meV per atom
Calculated total energy ... -22.1 eV per cell
Raw formation energy ... -0.786 eV per atom

Lattice parameters (Å, degrees): 5.4418 5.4418 5.4418 60.00 60.00 60.00
Last column: nearest neighbours and their distance in Å.
Fractional positions:
Te 0.0000 0.0000 0.0000  4 Th 3.33, 4 Tm 3.33
Tm 0.2500 0.2500 0.2500  4 Bi 3.33, 4 Te 3.33
Bi 0.5000 0.5000 0.5000  4 Th 3.33, 4 Tm 3.33
Th 0.7500 0.7500 0.7500  4 Te 3.33, 4 Bi 3.33



Here is RbSn3Br8 after structural relaxation from the Alexandria database. Energies are from PBE.

Computed properties:
DOS at the Fermi energy ... 0.313 states/eV/atom
Calculated total energy ... -36.6 eV per cell
Raw formation energy ... -0.857 eV per atom

Lattice parameters (Å, degrees): 5.6894 11.6139 9.5062 111.55 107.41 90.00
Last column: nearest neighbours and their distance in Å.
Fractional positions:
Sn 0.7151 0.3423 0.4301  4 Br 2.69-2.89
Sn 0.6117 0.7514 0.2234  4 Br 2.63-2.91
Sn 0.3959 0.2832 0.7917  4 Br 2.63-2.89
Br 0.1394 0.7347 0.2789  2 Sn 2.91
Br 0.5673 0.9416 0.1346  1 Sn 2.63
Br 0.2353 0.3216 0.4706  3 Sn 2.89-3.11
Br 0.4616 0.5827 0.9232  1 Sn 2.67
Br 0.3157 0.0403 0.6315  1 Sn 2.63
Br 0.5497 0.2879 0.0995  2 Sn 2.77-2.82
Br 0.7670 0.5926 0.5339  1 Sn 2.69
Br 0.8842 0.3188 0.7684  3 Sn 2.89-3.18
Rb 0.3554 0.7725 0.7108  6 Br 3.44-3.77



no.,theoretical density (g/cm³)
1,11.3
2,7.9
3,13.3
4,2.1
5,9.0
6,5.5
7,10.3
8,10.5
9,5.4
10,9.0
11,10.7
12,3.2